No. 1
The following is a PBE-GGA calculation of a geometry-optimized Pr3YB2N6 structure, from the Alexandria database.

## Properties
ΔE_f (raw) = -1.15 eV per atom
Calculated density = 5.8 g cm⁻³
M_tot = 0.00 μB/f.u.
V = 177 Å³ per cell

abc: 5.6504 5.6504 6.4000
angles: 90.00 90.00 120.00
Space group P-3m1 (No. 164)
Unique sites:
Pr (0.0000, 0.0000, 0.0000) [1 per cell]
Pr (0.3333, 0.6667, 0.6626) [2 per cell]
Y (0.0000, 0.0000, 0.5000) [1 per cell]
B (0.3333, 0.6667, 0.2502) [2 per cell]
N (0.1850, 0.3701, 0.2750) [6 per cell]


No. 2
The following is a PBE-GGA calculation of a geometry-optimized Pr3ZnB2N6 structure, from the Alexandria database.

## Properties
ΔE_f (raw) = -0.80 eV per atom
Calculated density = 6.0 g cm⁻³
M_tot = 0.00 μB/f.u.
V = 164 Å³ per cell

abc: 5.5035 5.5035 6.2511
angles: 90.00 90.00 120.00
Space group P-3m1 (No. 164)
Unique sites:
Pr (0.0000, 0.0000, 0.0000) [1 per cell]
Pr (0.3333, 0.6667, 0.6582) [2 per cell]
Zn (0.0000, 0.0000, 0.5000) [1 per cell]
B (0.3333, 0.6667, 0.2535) [2 per cell]
N (0.1821, 0.3643, 0.2807) [6 per cell]


No. 3
The following is a PBE-GGA calculation of a geometry-optimized Pr3ZrB2N6 structure, from the Alexandria database.

## Properties
ΔE_f (raw) = -1.17 eV per atom
Calculated density = 6.0 g cm⁻³
M_tot = 0.00 μB/f.u.
V = 171 Å³ per cell

abc: 5.5718 5.5718 6.3632
angles: 90.00 90.00 120.00
Space group P-3m1 (No. 164)
Unique sites:
Pr (0.0000, 0.0000, 0.0000) [1 per cell]
Pr (0.3333, 0.6667, 0.6620) [2 per cell]
Zr (0.0000, 0.0000, 0.5000) [1 per cell]
B (0.3333, 0.6667, 0.2572) [2 per cell]
N (0.1830, 0.3660, 0.2909) [6 per cell]